GGA-PBE AlSiAg, relaxed; energy relative to the elements, uncorrected = 0.23 eV per atom; total moment = 0.00 Bohr magnetons per cell; E_tot = -3.773 eV/atom; space group = Imm2 (44); theoretical density = 5.4 g/cm³
1.0
-1.4186 1.9560 4.5180
1.4186 -1.9560 4.5180
1.4186 1.9560 -4.5180
Al Si Ag
1 1 1
Direct
0.0000 0.0000 0.0000
0.6533 0.6533 0.0000
0.3276 0.3276 0.0000